DFT (PBE) results for Li2HfZnGa2Pt2 after structural relaxation.

Unit cell a=4.3797 b=4.3797 c=6.3259 alpha=90.00 beta=90.00 gamma=90.00
With the nearest neighbours (Å) after each atom.
Fractional positions:
Ga (0.5000, 0.5000, 0.0000)  4 Pt 2.69, 4 Li 2.86
Ga (0.0000, 0.0000, 0.5000)  4 Li 2.56, 4 Pt 2.71
Hf (0.0000, 0.0000, 0.0000)  4 Pt 2.69, 4 Li 2.86
Li (0.0000, 0.5000, 0.2912)  2 Zn 2.56, 4 Ga 2.56-2.86, 2 Hf 2.86
Li (0.5000, 0.0000, 0.7088)  2 Zn 2.56, 4 Ga 2.56-2.86, 2 Hf 2.86
Pt (0.5000, 0.0000, 0.2466)  2 Hf 2.69, 4 Ga 2.69-2.71, 2 Zn 2.71, 1 Li 2.92
Pt (0.0000, 0.5000, 0.7534)  4 Ga 2.69-2.71, 2 Hf 2.69, 2 Zn 2.71, 1 Li 2.92
Zn (0.5000, 0.5000, 0.5000)  4 Li 2.56, 4 Pt 2.71

Calculated values
spin magnetization	0.003	μB per formula unit
V	121	Å³ per cell
total DFT energy (no corrections)	-4.83	eV per atom
crystal system	tetragonal

---

DFT (PBE) results for Tl3OsF6 after structural relaxation.

Unit cell a=6.2921 b=6.2921 c=6.2921 alpha=60.00 beta=60.00 gamma=60.00
With the nearest neighbours (Å) after each atom.
Fractional positions:
F (0.7749, 0.2251, 0.2251)  1 Os 2.00
F (0.2251, 0.7749, 0.2251)  1 Os 2.00
F (0.7749, 0.7749, 0.2251)  1 Os 2.00
F (0.2251, 0.2251, 0.7749)  1 Os 2.00
F (0.7749, 0.2251, 0.7749)  1 Os 2.00
F (0.2251, 0.7749, 0.7749)  1 Os 2.00
Os (0.0000, 0.0000, 0.0000)  6 F 2.00
Tl (0.2500, 0.2500, 0.2500)  12 F 3.15
Tl (0.5000, 0.5000, 0.5000)  6 F 2.45
Tl (0.7500, 0.7500, 0.7500)  12 F 3.15

Calculated values
spin magnetization	0.999	μB per formula unit
V	176	Å³ per cell
total DFT energy (no corrections)	-4.46	eV per atom
crystal system	cubic

---

DFT (PBE) results for NaBeSiAu after structural relaxation.

Unit cell a=4.4426 b=4.4426 c=4.4426 alpha=60.00 beta=60.00 gamma=60.00
With the nearest neighbours (Å) after each atom.
Fractional positions:
Au (0.7500, 0.7500, 0.7500)  4 Na 2.72, 4 Si 2.72
Be (0.2500, 0.2500, 0.2500)  4 Na 2.72, 4 Si 2.72
Na (0.5000, 0.5000, 0.5000)  4 Be 2.72, 4 Au 2.72
Si (0.0000, 0.0000, 0.0000)  4 Au 2.72, 4 Be 2.72

Calculated values
V	62	Å³ per cell
distance to the lowest polymorph of the same formula	58.9	meV/atom
crystal system	cubic

---

> Which of these has the highest V?

Tl3OsF6

---

> What is the V in the first record?

121 Å³ per cell

---

> What is the V in the second record?

176 Å³ per cell

---

> What is the formula in the second record?

Tl3OsF6